## HPt3Se (GGA-PBE)

Data for a relaxed HPt3Se crystal.

Unit cell a=4.712 b=4.712 c=4.712 alpha=90.00 beta=90.00 gamma=90.00
Space group Pm-3m (No. 221)
Unique sites:
H 0.000 0.000 0.000
Pt 0.000 0.500 0.500
Se 0.500 0.500 0.500

## Properties
ΔE to the lowest computed polymorph = 877 meV/atom


## HPtSe2 (GGA-PBE)

Data for a relaxed HPtSe2 crystal.

Unit cell a=6.236 b=6.236 c=6.236 alpha=90.00 beta=90.00 gamma=90.00
Space group Fm-3m (No. 225)
Unique sites:
H 0.000 0.000 0.000
Pt 0.000 0.000 0.500
Se 0.250 0.250 0.250

## Properties
ΔE to the lowest computed polymorph = 718 meV/atom


## H2PtSe2 (GGA-PBE)

Data for a relaxed H2PtSe2 crystal.

Unit cell a=3.4438 b=3.4438 c=21.4945 alpha=90.00 beta=90.00 gamma=120.00
Space group R-3m (No. 166, hexagonal axes)
Unique sites:
H 0.0000 0.0000 0.2279
Pt 0.0000 0.0000 0.0000
Se 0.0000 0.0000 0.4105

## Properties
ΔE to the lowest computed polymorph = 165 meV/atom


- Which of these has the highest ΔE to the lowest computed polymorph?
  HPt3Se


- The lowest ΔE to the lowest computed polymorph belongs to which entry?
  H2PtSe2


- What is the formula in the first record?
  HPt3Se